Ca4Tm3CuS8: optimized geometry, PBE.

Output
Its density is 4.83 g/cm3. The energy relative to the elements, uncorrected is -1848 meV/atom. The uncorrected energy comes out at -264.301 eV for the cell shown.

CIF file:
```
data_Ca4Tm3CuS8
_chemical_formula_sum 'Ca12 Tm9 Cu3 S24'
_symmetry_space_group_name_H-M 'R -3 m'
_symmetry_Int_Tables_number 166
_symmetry_space_group_name_Hall '-R 3 2"'
_cell_length_a 7.8101
_cell_length_b 7.8101
_cell_length_c 19.2845
_cell_angle_alpha 90.00
_cell_angle_beta 90.00
_cell_angle_gamma 120.00
loop_
_atom_site_label
_atom_site_type_symbol
_atom_site_fract_x
_atom_site_fract_y
_atom_site_fract_z
_atom_site_occupancy
Ca1 Ca 0.0000 0.0000 0.0000 1
Ca2 Ca 0.0000 0.5000 0.0000 1
Tm1 Tm 0.0000 0.5000 0.5000 1
Cu1 Cu 0.0000 0.0000 0.5000 1
S1 S 0.0000 0.0000 0.2466 1
S2 S 0.0016 0.5008 0.2453 1
```